[1]
VASP calculation (PBE-GGA) on crystalline Er4InPd2 at its relaxed geometry.

Cell lengths 4.777, 4.777, 9.799 Å; angles 75.89, 75.89, 60.00 degrees
Positions (direct):
Pd (0.400, 0.400, 0.800)
Er (0.884, 0.884, 0.347)
Er (0.116, 0.116, 0.653)
Er (0.297, 0.297, 0.110)
Pd (0.600, 0.600, 0.200)
In (0.500, 0.500, 0.500)
Er (0.703, 0.703, 0.890)

Output
DOS(E_F) (states/eV/cell): 5.3
SG: R-3m
Energy (eV per atom): -4.990



[2]
VASP calculation (PBE-GGA) on crystalline LiReAu at its relaxed geometry.

Cell lengths 4.828, 4.828, 4.828 Å; angles 148.29, 129.14, 61.18 degrees
Positions (direct):
Re (0.668, 0.668, 0.000)
Li (0.335, 0.335, 0.000)
Au (0.997, 0.997, 0.000)

Output
DOS(E_F) (states/eV/cell): 2.8
Excess energy over the best structure of this formula in the dataset (meV/atom): 236
SG: Imm2
Energy (eV per atom): -5.402



[3]
VASP calculation (PBE-GGA) on crystalline LaPm2HoEr5 at its relaxed geometry.

Cell lengths 8.742, 8.742, 9.858 Å; angles 116.32, 116.32, 90.00 degrees
Positions (direct):
Er (0.000, 0.000, 0.000)
Pm (0.116, 0.384, 0.000)
Er (0.845, 0.927, 0.272)
Ho (0.750, 0.250, 0.500)
Er (0.573, 0.655, 0.728)
Pm (0.384, 0.884, 0.000)
La (0.750, 0.750, 0.500)
Pm (0.616, 0.116, 0.000)
Ho (0.250, 0.750, 0.500)
Er (0.345, 0.845, 0.272)
Er (0.500, 0.500, 0.000)
La (0.250, 0.250, 0.500)
Er (0.427, 0.345, 0.272)
Er (0.073, 0.573, 0.728)
Er (0.927, 0.427, 0.272)
Pm (0.884, 0.616, 0.000)
Er (0.655, 0.155, 0.728)
Er (0.155, 0.073, 0.728)

Output
DOS(E_F) (states/eV/cell): 20.3
SG: I4/mcm
Energy (eV per atom): -4.385



[4]
VASP calculation (PBE-GGA) on crystalline Ac2ZrRuS6 at its relaxed geometry.

Cell lengths 6.673, 7.121, 9.637 Å; angles 90.00, 90.00, 90.00 degrees
Positions (direct):
Ac (0.500, 0.798, 0.729)
Zr (0.500, 0.293, 0.500)
S (0.500, 0.215, 0.244)
S (0.000, 0.785, 0.256)
S (0.253, 0.997, 0.000)
Ac (0.500, 0.798, 0.271)
Ru (0.000, 0.760, 0.500)
S (0.742, 0.474, 0.000)
S (0.753, 0.003, 0.500)
Ac (0.000, 0.202, 0.229)
S (0.242, 0.526, 0.500)
Ru (0.500, 0.240, 0.000)
Zr (0.000, 0.707, 0.000)
S (0.247, 0.003, 0.500)
S (0.758, 0.526, 0.500)
S (0.000, 0.785, 0.744)
S (0.500, 0.215, 0.756)
S (0.747, 0.997, 0.000)
S (0.258, 0.474, 0.000)
Ac (0.000, 0.202, 0.771)

Output
DOS(E_F) (states/eV/cell): 1.0
Formation energy without anion corrections (eV/atom): -1.43
SG: Pmmn
Energy (eV per atom): -6.514



[5]
VASP calculation (PBE-GGA) on crystalline FeSeN2 at its relaxed geometry.

Cell lengths 6.300, 6.300, 6.300 Å; angles 26.71, 26.71, 26.71 degrees
Positions (direct):
Fe (0.500, 0.500, 0.500)
N (0.111, 0.111, 0.111)
Se (0.000, 0.000, 0.000)
N (0.889, 0.889, 0.889)

Output
DOS(E_F) (states/eV/cell): 2.4
Formation energy without anion corrections (eV/atom): 0.58
SG: R-3m
Energy (eV per atom): -6.573



[6]
VASP calculation (PBE-GGA) on crystalline AuS2N2 at its relaxed geometry.

Cell lengths 2.701, 5.260, 7.449 Å; angles 69.54, 88.25, 89.94 degrees
Positions (direct):
S (0.063, 0.244, 0.351)
Au (0.598, 0.865, 0.965)
N (0.593, 0.215, 0.032)
N (0.553, 0.107, 0.478)
S (0.607, 0.490, 0.861)

Output
DOS(E_F) (states/eV/cell): 0.7
Excess energy over the best structure of this formula in the dataset (meV/atom): 124
Formation energy without anion corrections (eV/atom): 0.72
SG: P1
Energy (eV per atom): -4.914